The following is a DFT calculation (PBE) of an optimized crystal structure of Si2HgSe.

- SG = Cmm2, No. 35
- relative energy among the computed polymorphs (meV/atom) = 303.7

Cell lengths 2.991, 2.991, 9.813 Å; angles 90.00, 90.00, 110.29 degrees
Atoms (fractional coordinates):
1 Hg 0.000 0.000 0.481
2 Se 0.500 0.500 0.813
3 Si 0.000 0.000 0.011
4 Si 0.500 0.500 0.194



The following is a DFT calculation (PBE) of an optimized crystal structure of CdFe4Sb12.

- SG = Im-3, No. 204

Cell lengths 7.990, 7.990, 7.990 Å; angles 109.47, 109.47, 109.47 degrees
Site moments in Bohr magnetons follow the coordinates.
Atoms (fractional coordinates):
1 Cd 0.000 0.000 0.000  0.05
2 Fe 0.000 0.500 0.000  1.01
3 Fe 0.500 0.000 0.000  1.01
4 Fe 0.500 0.500 0.500  1.01
5 Fe 0.000 0.000 0.500  1.01
6 Sb 0.840 0.332 0.172  -0.02
7 Sb 0.332 0.492 0.160  -0.02
8 Sb 0.828 0.160 0.668  -0.02
9 Sb 0.332 0.172 0.840  -0.02
10 Sb 0.172 0.840 0.332  -0.02
11 Sb 0.668 0.508 0.840  -0.02
12 Sb 0.492 0.160 0.332  -0.02
13 Sb 0.508 0.840 0.668  -0.02
14 Sb 0.668 0.828 0.160  -0.02
15 Sb 0.840 0.668 0.508  -0.02
16 Sb 0.160 0.332 0.492  -0.02
17 Sb 0.160 0.668 0.828  -0.02



The following is a DFT calculation (PBE) of an optimized crystal structure of SbMoI2.

- SG = Fm-3m, No. 225
- relative energy among the computed polymorphs (meV/atom) = 648.3

Cell lengths 5.317, 5.317, 5.317 Å; angles 60.00, 60.00, 60.00 degrees
Site moments in Bohr magnetons follow the coordinates.
Atoms (fractional coordinates):
1 I 0.250 0.250 0.250  -0.02
2 I 0.750 0.750 0.750  -0.02
3 Sb 0.500 0.500 0.500  -0.14
4 Mo 0.000 0.000 0.000  2.81



What did we get for mass density? Answer: 6.77, 7.60, 7.37 g cm⁻³, in the order shown.
What did we get for formation energy from raw total energies? Answer: 1.81, -0.01, 3.96 eV per formula unit, in the order shown.